Entry 1:
Density functional theory data (PBE-GGA) for a geometry-optimized RbPaI6 structure.

Cell lengths 7.910, 7.910, 7.790 Å; angles 99.07, 99.07, 110.72 degrees
Positions (direct):
I 0.184 0.507 0.245
I 0.763 0.763 0.344
I 0.507 0.184 0.245
I 0.493 0.816 0.755
Pa 0.500 0.500 0.500
Rb 0.000 0.000 0.000
I 0.816 0.493 0.755
I 0.237 0.237 0.656

## Properties
**Raw total energy**: -3.561 eV per atom
**Space-group type**: C2/m (12)
**Offset from the most stable computed form**: 0.000 eV/atom

***

Entry 2:
Density functional theory data (PBE-GGA) for a geometry-optimized Rb2PaI8 structure.

Cell lengths 6.842, 10.070, 10.070 Å; angles 80.28, 79.48, 79.48 degrees
Positions (direct):
I 0.203 0.242 0.917
Pa 0.000 0.000 0.000
I 0.797 0.083 0.758
Rb 0.895 0.709 0.709
Rb 0.105 0.291 0.291
I 0.674 0.167 0.167
I 0.326 0.833 0.833
I 0.797 0.758 0.083
I 0.203 0.917 0.242
I 0.256 0.499 0.499
I 0.744 0.501 0.501

## Properties
**Raw total energy**: -3.194 eV per atom
**Space-group type**: C2/m (12)
**D(E_F)**: 0.917 states/eV/f.u.

***

Entry 3:
Density functional theory data (PBE-GGA) for a geometry-optimized RbPaI5 structure.

Cell lengths 8.592, 8.592, 12.314 Å; angles 70.73, 70.73, 68.75 degrees
Positions (direct):
Pa 0.000 0.000 0.500
Pa 0.000 0.000 0.000
I 0.103 0.323 0.384
Rb 0.463 0.537 0.250
I 0.629 0.204 0.505
I 0.323 0.103 0.884
I 0.937 0.063 0.750
I 0.371 0.796 0.495
I 0.796 0.371 0.995
I 0.677 0.897 0.116
I 0.204 0.629 0.005
Rb 0.537 0.463 0.750
I 0.897 0.677 0.616
I 0.063 0.937 0.250

## Properties
**Raw total energy**: -3.695 eV per atom
**Space-group type**: C2/c (15)
**D(E_F)**: 2.335 states/eV/f.u.